Entry 1:
PBE Y12Ni6Au, relaxed; total magnetization = 0.00 μB per formula unit; symmetry = Im-3; uncorrected energy = -6.441 eV per atom; formation enthalpy at 0 K = -0.36 eV per atom
1.0
-4.8381 4.8381 4.8381
4.8381 -4.8381 4.8381
4.8381 4.8381 -4.8381
Y Ni Au
12 6 1
Cartesian
4.8381 -1.9323 3.0413 Y
2.9058 1.7968 0.0000 Y
6.7704 1.7968 0.0000 Y
3.0413 4.8381 -1.9323 Y
1.7968 0.0000 2.9058 Y
0.0000 2.9058 1.7968 Y
4.8381 1.9323 3.0413 Y
3.0413 4.8381 1.9323 Y
1.7968 0.0000 6.7704 Y
-1.9323 3.0413 4.8381 Y
1.9323 3.0413 4.8381 Y
0.0000 6.7704 1.7968 Y
4.8381 0.0000 1.1988 Ni
4.8381 3.6393 0.0000 Ni
1.1988 4.8381 0.0000 Ni
3.6393 0.0000 4.8381 Ni
0.0000 1.1988 4.8381 Ni
0.0000 4.8381 3.6393 Ni
0.0000 0.0000 0.0000 Au

Entry 2:
PBE PrAl3Au, relaxed; total magnetization = 0.00 μB per formula unit; symmetry = I4mm; uncorrected energy = -4.493 eV per atom; formation enthalpy at 0 K = -0.64 eV per atom
1.0
-2.1671 2.1671 5.5049
2.1671 -2.1671 5.5049
2.1671 2.1671 -5.5049
Pr Al Au
1 3 1
Cartesian
0.0000 0.0000 0.0000 Pr
2.1671 0.0000 2.6293 Al
0.0000 0.0000 6.5032 Al
0.0000 2.1671 2.6293 Al
0.0000 0.0000 4.0055 Au

Entry 3:
PBE TaMn2Cl, relaxed; total magnetization = 6.05 μB per formula unit; symmetry = Cmmm; uncorrected energy = -7.541 eV per atom
1.0
2.6030 -4.1123 0.0000
2.6030 4.1123 0.0000
0.0000 0.0000 2.9913
Ta Mn Cl
1 2 1
Cartesian
0.0000 0.0000 0.0000 Ta
1.3015 2.0562 1.4957 Mn
1.3015 -2.0562 1.4957 Mn
2.6030 0.0000 0.0000 Cl

Entry 4:
PBE ScSO2, relaxed; total magnetization = 0.00 μB per formula unit; symmetry = R-3m; uncorrected energy = -7.030 eV per atom
1.0
1.6029 0.9254 5.9467
-1.6029 0.9254 5.9467
0.0000 -1.8509 5.9467
Sc S O
1 1 2
Cartesian
0.0000 0.0000 0.0000 Sc
0.0000 0.0000 8.9200 S
0.0000 0.0000 6.9690 O
0.0000 0.0000 10.8710 O

Entry 5:
PBE CaTlWCl2, relaxed; total magnetization = 5.09 μB per formula unit; symmetry = P4/mmm; uncorrected energy = -3.928 eV per atom
1.0
5.0548 0.0000 0.0000
0.0000 5.0548 0.0000
0.0000 0.0000 9.1388
Ca Tl W Cl
1 1 1 2
Cartesian
0.0000 0.0000 0.0000 Ca
0.0000 0.0000 4.5694 Tl
2.5274 2.5274 4.5694 W
0.0000 2.5274 0.0000 Cl
2.5274 0.0000 0.0000 Cl

Entry 6:
PBE TbSm2Ho9, relaxed; total magnetization = 0.00 μB per formula unit; symmetry = P4/mmm; uncorrected energy = -4.584 eV per atom; formation enthalpy at 0 K = 0.02 eV per atom
1.0
5.0104 0.0000 0.0000
0.0000 5.0104 0.0000
0.0000 0.0000 15.0372
Tb Sm Ho
1 2 9
Cartesian
0.0000 0.0000 0.0000 Tb
0.0000 0.0000 5.0079 Sm
0.0000 0.0000 10.0293 Sm
0.0000 2.5052 2.4922 Ho
0.0000 2.5052 7.5186 Ho
0.0000 2.5052 12.5450 Ho
2.5052 0.0000 2.4922 Ho
2.5052 0.0000 7.5186 Ho
2.5052 0.0000 12.5450 Ho
2.5052 2.5052 0.0000 Ho
2.5052 2.5052 5.0041 Ho
2.5052 2.5052 10.0331 Ho

Entry 7:
PBE BaNdMgAg, relaxed; total magnetization = 0.00 μB per formula unit; symmetry = F-43m; uncorrected energy = -2.805 eV per atom; formation enthalpy at 0 K = -0.02 eV per atom
1.0
0.0000 4.0208 4.0208
4.0208 0.0000 4.0208
4.0208 4.0208 0.0000
Ba Nd Mg Ag
1 1 1 1
Cartesian
0.0000 0.0000 0.0000 Ba
4.0208 4.0208 4.0208 Nd
2.0104 2.0104 2.0104 Mg
6.0312 6.0312 6.0312 Ag

Entry 8:
PBE PmPrPtSe, relaxed; total magnetization = 0.00 μB per formula unit; symmetry = R3m; uncorrected energy = -6.198 eV per atom
1.0
2.0778 1.1996 7.3093
-2.0778 1.1996 7.3093
0.0000 -2.3992 7.3093
Pm Pr Pt Se
1 1 1 1
Cartesian
0.0000 0.0000 0.0000 Pm
0.0000 0.0000 10.7011 Pr
0.0000 0.0000 16.2835 Pt
0.0000 0.0000 5.3786 Se

no.,density (Mg/m³)
1,5.924
2,6.726
3,8.460
4,3.420
5,3.550
6,8.551
7,5.284
8,8.506